[1]
Material: YTc2Ni
Method: DFT, GGA-PBE
State: optimized geometry

Properties
Energy relative to the lowest polymorph listed for this composition in eV/atom: 0.1384
Magnetization in μB per formula unit: 0.000

Cell lengths 5.5412, 5.5412, 4.5500 Å; angles 71.87, 71.87, 29.78 degrees
Closest atoms and distances in Å follow each position.
Atoms (fractional coordinates):
Tc 0.9652 0.9652 0.0417  2 Ni 2.61, 6 Tc 2.66-2.89
Ni 0.2500 0.2500 0.2500  4 Tc 2.61, 4 Y 2.68, 2 Ni 2.85
Y 0.7500 0.7500 0.7500  4 Ni 2.68, 2 Y 2.85
Tc 0.5348 0.5348 0.4583  2 Ni 2.61, 6 Tc 2.66-2.89

---

[2]
Material: YTc2Ni
Method: DFT, GGA-PBE
State: optimized geometry

Properties
Energy relative to the lowest polymorph listed for this composition in eV/atom: 0.0000
Magnetization in μB per formula unit: 0.181

Cell lengths 3.1294, 3.1294, 6.8839 Å; angles 90.00, 90.00, 90.01 degrees
Closest atoms and distances in Å follow each position.
Atoms (fractional coordinates):
Y 0.0000 0.0000 0.5091  4 Ni 2.96, 4 Tc 3.09, 4 Y 3.13
Ni 0.5000 0.5000 0.7956  5 Tc 2.62-2.75
Tc 0.5000 0.5000 0.1950  4 Tc 2.59, 1 Ni 2.75
Tc 0.0000 0.0000 0.0003  4 Tc 2.59, 4 Ni 2.62

---

[3]
Material: YTcNi2
Method: DFT, GGA-PBE
State: optimized geometry

Properties
Energy relative to the lowest polymorph listed for this composition in eV/atom: 0.2216
Magnetization in μB per formula unit: 0.000

Cell lengths 4.6311, 4.6311, 5.0121 Å; angles 77.88, 77.88, 37.49 degrees
Closest atoms and distances in Å follow each position.
Atoms (fractional coordinates):
Tc 0.4855 0.4855 0.5827  5 Ni 2.47-2.56
Y 0.2519 0.2519 0.2292  7 Ni 2.71-2.94, 2 Y 2.98, 3 Tc 2.99-3.00
Ni 0.0140 0.0140 0.9631  2 Tc 2.47, 2 Ni 2.60, 1 Y 2.71
Ni 0.7485 0.7485 0.7250  3 Tc 2.53-2.56, 2 Ni 2.60

---

[4]
Material: YTcNi3
Method: DFT, GGA-PBE
State: optimized geometry

Properties
Energy relative to the lowest polymorph listed for this composition in eV/atom: 1.1695
Magnetization in μB per formula unit: 3.730

Cell lengths 4.5961, 4.5961, 4.5961 Å; angles 90.00, 90.00, 90.00 degrees
Closest atoms and distances in Å follow each position.
Atoms (fractional coordinates):
Ni 0.5000 0.0000 0.0000  2 Y 2.30
Y 0.0000 0.0000 0.0000  6 Ni 2.30
Tc 0.5000 0.5000 0.5000  12 Ni 3.25
Ni 0.0000 0.0000 0.5000  2 Y 2.30
Ni 0.0000 0.5000 0.0000  2 Y 2.30

---

[5]
Material: Y2TcNi
Method: DFT, GGA-PBE
State: optimized geometry

Properties
Magnetization in μB per formula unit: 0.167
E_tot in eV per cell: -28.727

Cell lengths 3.3296, 3.3296, 7.8313 Å; angles 90.00, 90.00, 90.05 degrees
Closest atoms and distances in Å follow each position.
Atoms (fractional coordinates):
Ni 0.0000 0.0000 0.5594  4 Tc 2.55
Y 0.0000 0.0000 0.9291  1 Ni 2.90, 4 Tc 3.04
Tc 0.5000 0.5000 0.6841  4 Ni 2.55, 1 Y 2.79
Y 0.5000 0.5000 0.3273  1 Tc 2.79, 4 Ni 2.97-2.98

---

[6]
Material: Y2TcNi
Method: DFT, GGA-PBE
State: optimized geometry

Properties
Magnetization in μB per formula unit: 0.746
E_tot in eV per cell: -52.411

Cell lengths 4.4305, 4.4305, 9.5411 Å; angles 76.57, 76.57, 90.00 degrees
Closest atoms and distances in Å follow each position.
Atoms (fractional coordinates):
Y 0.3750 0.3763 0.7500  2 Ni 2.74, 2 Tc 2.75
Tc 0.0000 0.0000 0.0000  4 Y 2.75
Y 0.1263 0.6250 0.2500  2 Ni 2.74, 2 Tc 2.75
Y 0.8750 0.8737 0.7500  2 Ni 2.74, 2 Tc 2.75
Y 0.6237 0.1250 0.2500  2 Ni 2.74, 2 Tc 2.75
Ni 0.2500 0.7500 0.5000  4 Y 2.74
Tc 0.7500 0.2500 0.5000  4 Y 2.75
Ni 0.5000 0.5000 0.0000  4 Y 2.74